(1)
This record from Alexandria describes a relaxed Ti2Mn2Re crystal. The functional is PBE.

Calculated values
spin magnetization = 0.00 μB per cell
density = 9.270 Mg/m³
VASP energy = -9.265 eV/atom

Cell and atoms, written as POSCAR:
```
Ti2Mn2Re
1.0
6.5969 0.0000 0.0000
0.0000 6.5969 0.0000
0.0000 0.0000 3.2255
Ti Mn Re
4 4 2
Direct
0.1963 0.3037 0.0000
0.3037 0.8037 0.0000
0.6963 0.1963 0.0000
0.8037 0.6963 0.0000
0.1092 0.6092 0.5000
0.3908 0.1092 0.5000
0.6092 0.8908 0.5000
0.8908 0.3908 0.5000
0.0000 0.0000 0.5000
0.5000 0.5000 0.5000
```



(2)
This record from Alexandria describes a relaxed YGa2Ni6 crystal. The functional is PBE.

Calculated values
spin magnetization = 0.00 μB per cell
density = 6.597 Mg/m³
VASP energy = -5.058 eV/atom

Cell and atoms, written as POSCAR:
```
YGa2Ni6
1.0
0.0000 5.2671 5.2671
5.2671 0.0000 5.2671
5.2671 5.2671 0.0000
Y Ga Ni
2 4 12
Direct
0.1250 0.1250 0.1250
0.8750 0.8750 0.8750
0.0000 0.5000 0.5000
0.5000 0.0000 0.5000
0.5000 0.5000 0.0000
0.5000 0.5000 0.5000
0.1206 0.1206 0.6294
0.1206 0.6294 0.1206
0.1206 0.6294 0.6294
0.3706 0.3706 0.8794
0.3706 0.8794 0.3706
0.3706 0.8794 0.8794
0.6294 0.1206 0.1206
0.6294 0.1206 0.6294
0.6294 0.6294 0.1206
0.8794 0.3706 0.3706
0.8794 0.3706 0.8794
0.8794 0.8794 0.3706
```



(3)
This record from Alexandria describes a relaxed Tb4PmDy2 crystal. The functional is PBE.

Calculated values
E above lowest polymorph = 0.65 eV per formula unit
spin magnetization = 0.00 μB per cell
density = 8.144 Mg/m³

Cell and atoms, written as POSCAR:
```
Tb4PmDy2
1.0
6.1035 0.0000 0.0000
0.0000 6.5858 0.0000
-2.8344 0.0000 11.2174
Tb Pm Dy
8 2 4
Direct
0.1491 0.0072 0.2886
0.1491 0.4928 0.2886
0.2146 0.2500 0.5728
0.3508 0.7500 0.8397
0.6492 0.2500 0.1603
0.7854 0.7500 0.4272
0.8509 0.5072 0.7114
0.8509 0.9928 0.7114
0.4678 0.7500 0.1415
0.5322 0.2500 0.8585
0.1019 0.2500 0.9948
0.3472 0.7500 0.5532
0.6528 0.2500 0.4468
0.8981 0.7500 0.0052
```



(4)
This record from Alexandria describes a relaxed LiSn3Pd3 crystal. The functional is PBE.

Calculated values
E above lowest polymorph = 0.50 eV per formula unit
spin magnetization = 0.00 μB per cell
density = 8.269 Mg/m³

Cell and atoms, written as POSCAR:
```
LiSn3Pd3
1.0
4.6366 2.6769 1.8399
-4.6366 2.6769 1.8399
0.0000 -5.3539 1.8399
Li Sn Pd
1 3 3
Direct
0.0000 0.0000 0.0000
0.4991 0.4991 0.9988
0.4991 0.9988 0.4991
0.9988 0.4991 0.4991
0.4991 0.9991 0.9991
0.9991 0.4991 0.9991
0.9991 0.9991 0.4991
```



(5)
This record from Alexandria describes a relaxed Be2InSe crystal. The functional is PBE.

Calculated values
E above lowest polymorph = 2.22 eV per formula unit
spin magnetization = 0.00 μB per cell
ΔE_f (raw) = 704 meV/atom
density = 5.239 Mg/m³

Cell and atoms, written as POSCAR:
```
Be2InSe
1.0
4.1902 0.0000 0.0000
0.0000 4.1902 0.0000
0.0000 0.0000 7.6463
Be In Se
4 2 2
Direct
0.0000 0.5000 0.2500
0.0000 0.5000 0.7500
0.5000 0.0000 0.2500
0.5000 0.0000 0.7500
0.0000 0.0000 0.0000
0.5000 0.5000 0.5000
0.0000 0.0000 0.5000
0.5000 0.5000 0.0000
```



(6)
This record from Alexandria describes a relaxed Rb8As2Se crystal. The functional is PBE.

Calculated values
spin magnetization = 0.00 μB per cell
ΔE_f (raw) = -445 meV/atom
density = 3.338 Mg/m³

Cell and atoms, written as POSCAR:
```
Rb8As2Se
1.0
-2.9662 4.1956 9.1199
2.9662 -4.1956 9.1199
2.9662 4.1956 -9.1199
Rb As Se
8 2 1
Direct
0.1163 0.3531 0.7633
0.1909 0.1909 0.0000
0.2706 0.0000 0.2706
0.4102 0.6469 0.7633
0.5898 0.3531 0.2367
0.7294 0.0000 0.7294
0.8091 0.8091 0.0000
0.8837 0.6469 0.2367
0.3214 0.8214 0.5000
0.6786 0.1786 0.5000
0.0000 0.5000 0.5000
```